Entry 1:
This record from Alexandria describes an optimized crystal structure of TbPa4P6. The functional is PBE-GGA.

Unit cell a=10.9222 b=10.9222 c=13.5948 alpha=90.00 beta=90.00 gamma=120.00
Space group R-3c (No. 167, hexagonal axes)
Asymmetric unit:
Tb: 0.0000 0.0000 0.0000 x6
Pa: 0.0000 0.0000 0.2500 x6
Pa: 0.0000 0.3857 0.2500 x18
P: 0.0297 0.2110 0.3837 x36

Results
calculated formation energy: -1.0693 eV/atom

***

Entry 2:
This record from Alexandria describes an optimized crystal structure of LiCoSi2. The functional is PBE-GGA.

Unit cell a=4.936 b=7.176 c=2.616 alpha=90.00 beta=90.00 gamma=90.00
Space group Cmmm (No. 65)
Asymmetric unit:
Li: 0.000 0.000 0.000 x2
Co: 0.000 0.500 0.000 x2
Si: 0.250 0.250 0.500 x4

Results
energy relative to the lowest polymorph listed for this composition: 152.7 meV/atom